The following is a PBE+U calculation of crystalline Ge2RhWF at its relaxed geometry, from the Alexandria database.

Uncorrected energy = -23.90 eV/cell
Calculated density = 7.42 g cm⁻³

a = 5.0203 Å, b = 5.0203 Å, c = 4.0047 Å
α = 90.00°, β = 90.00°, γ = 90.00°
Closest atoms and distances in Å follow each position.
Space group P4/mmm (No. 123)
One atom of each set of equivalent atoms:
Ge 0.0000 0.5000 0.0000 [2 per cell]  2 W 2.51
Rh 0.0000 0.0000 0.5000 [1 per cell]  8 Ge 3.21, 4 F 3.55
W 0.5000 0.5000 0.0000 [1 per cell]  2 F 2.00
F 0.5000 0.5000 0.5000 [1 per cell]  2 W 2.00